Density functional theory data (PBE with a Hubbard U) for MoCOF2 after structural relaxation.

Structure (CIF):
```
data_MoCOF2
_cell_length_a 3.651
_cell_length_b 3.651
_cell_length_c 4.230
_cell_angle_alpha 90.00
_cell_angle_beta 90.00
_cell_angle_gamma 90.00
_space_group_name_H-M_alt 'P 1'
_space_group_IT_number 1
_space_group_name_Hall 'P 1'
loop_
_atom_site_label
_atom_site_type_symbol
_atom_site_fract_x
_atom_site_fract_y
_atom_site_fract_z
F1 F 0.500 0.000 0.000
F2 F 0.000 0.500 0.000
O1 O 0.000 0.000 0.500
Mo1 Mo 0.500 0.500 0.500
C1 C 0.000 0.000 0.000
```

Results
E above lowest polymorph, eV/atom: 0.335
Symmetry: No. 123
Total magnetic moment, μB per formula unit: 4.0
Uncorrected energy, Ry per atom: -0.3533